VASP calculation (PBE) on crystalline ScTlRe2 at its relaxed geometry.

a = 2.860 Å, b = 2.860 Å, c = 9.472 Å
α = 90.00°, β = 90.00°, γ = 111.57°
Fractional positions:
1 Tl 0.500 0.500 0.750
2 Sc 0.500 0.500 0.250
3 Re 0.000 0.000 0.488
4 Re 0.000 0.000 0.012

Values from the calculation:
- energy of formation (eV/atom) = 0.61
- E_tot (eV/cell) = -31.16